## GaHgBr3 (PBE-GGA)

Data for a relaxed structure of GaHgBr3.

The structure belongs to space group P2_1/c (No. 14); the cell edges are 13.269, 3.912 and 19.646 Å and the angles 90.00°, 132.37° and 90.00°. The distinct sites, in fractional coordinates, are Ga at (0.185, 0.247, 0.217), Hg at (0.312, 0.249, 0.385), Br at (0.016, 0.747, 0.139), Br at (0.289, 0.247, 0.159) and Br at (0.373, 0.748, 0.509).

As for the density of states at the Fermi level: 0.00 states/eV/f.u. The total energy is -2.26 eV/atom.

***

## GaHg3Br4 (PBE-GGA)

Data for a relaxed structure of GaHg3Br4.

The structure belongs to space group Imm2 (No. 44); the cell edges are 7.983, 12.102 and 6.177 Å and the angles 90.00°, 90.00° and 90.00°. The distinct sites, in fractional coordinates, are Ga at (0.000, 0.000, 0.000), Hg at (0.000, 0.265, 0.280), Hg at (0.000, 0.500, 0.282), Br at (0.000, 0.163, 0.783) and Br at (0.242, 0.000, 0.222).

As for the density of states at the Fermi level: 3.26 states/eV/f.u. The total energy is -1.78 eV/atom.

***

## GaHgBr (PBE-GGA)

Data for a relaxed structure of GaHgBr.

The structure belongs to space group P3m1 (No. 156); the cell edges are 4.4201, 4.4201 and 5.7684 Å and the angles 90.00°, 90.00° and 120.00°. The distinct sites, in fractional coordinates, are Ga at (0.0000, 0.0000, 0.0000), Hg at (0.3333, 0.6667, 0.7012) and Br at (0.6667, 0.3333, 0.2482).

The total energy is -2.00 eV/atom.

***

Number 1: total magnetic moment 0.00 Bohr magnetons per cell. Number 2: total magnetic moment 0.00 Bohr magnetons per cell. Number 3: total magnetic moment 0.00 Bohr magnetons per cell.